# 1
Density functional theory data (PBE) for a geometry-optimized LiHAu3 structure.

The value obtained for the excess energy over the best structure of this formula in the dataset is 0.0 meV per atom.

The structure belongs to space group Pm-3m (No. 221); the cell edges are 4.169, 4.169 and 4.169 Å and the angles 90.00°, 90.00° and 90.00°. The inequivalent atoms are Li at (0.000, 0.000, 0.000), H at (0.500, 0.500, 0.500) and Au at (0.000, 0.500, 0.500).

# 2
Density functional theory data (PBE) for a geometry-optimized Li3HAu structure.

The value obtained for the excess energy over the best structure of this formula in the dataset is 13.6 meV per atom.

The structure belongs to space group Cm (No. 8); the cell edges are 18.769, 2.881 and 4.689 Å and the angles 90.00°, 90.96° and 90.00°. The inequivalent atoms are Li at (0.000, 0.000, 0.000), Li at (0.004, 0.500, 0.492), Li at (0.125, 0.000, 0.676), Li at (0.128, 0.500, 0.168), Li at (0.265, 0.000, 0.322), Li at (0.364, 0.000, 0.849), H at (0.059, 0.500, 0.839), H at (0.069, 0.000, 0.331), Au at (0.240, 0.500, 0.816) and Au at (0.389, 0.500, 0.355).

# 3
Density functional theory data (PBE) for a geometry-optimized Li3HAu structure.

The value obtained for the excess energy over the best structure of this formula in the dataset is 129.6 meV per atom.

The structure belongs to space group Cmcm (No. 63); the cell edges are 5.354, 10.125 and 5.204 Å and the angles 90.00°, 90.00° and 90.00°. The inequivalent atoms are Li at (0.000, 0.000, 0.000), Li at (0.239, 0.306, 0.250), H at (0.000, 0.101, 0.750) and Au at (0.000, 0.426, 0.750).

# 4
Density functional theory data (PBE) for a geometry-optimized Li3HAu structure.

The value obtained for the excess energy over the best structure of this formula in the dataset is 65.5 meV per atom.

The structure belongs to space group P2_1/m (No. 11); the cell edges are 5.568, 4.162 and 6.074 Å and the angles 90.00°, 114.31° and 90.00°. The inequivalent atoms are Li at (0.069, 0.250, 0.369), Li at (0.206, 0.750, 0.106), Li at (0.430, 0.750, 0.647), H at (0.435, 0.250, 0.610) and Au at (0.269, 0.250, 0.852).

# 5
Density functional theory data (PBE) for a geometry-optimized Li3HAu structure.

The value obtained for the excess energy over the best structure of this formula in the dataset is 35.9 meV per atom.

The structure belongs to space group Cmcm (No. 63); the cell edges are 4.348, 4.348 and 13.896 Å and the angles 90.00°, 90.00° and 90.00°. The inequivalent atoms are Li at (0.000, 0.000, 0.109), Li at (0.000, 0.500, 0.250), H at (0.000, 0.001, 0.250) and Au at (0.000, 0.500, 0.000).

# 6
Density functional theory data (PBE) for a geometry-optimized Li3HAu structure.

The value obtained for the excess energy over the best structure of this formula in the dataset is 41.7 meV per atom.

The structure belongs to space group P2_1/m (No. 11); the cell edges are 4.708, 5.434 and 5.093 Å and the angles 90.00°, 92.57° and 90.00°. The inequivalent atoms are Li at (0.222, 0.000, 0.152), Li at (0.236, 0.250, 0.648), H at (0.038, 0.250, 0.953) and Au at (0.309, 0.750, 0.634).

# 7
Density functional theory data (PBE) for a geometry-optimized Li6HAu2 structure.

As for the electronic total energy: -2.759 eV per atom.

The structure belongs to space group P2_1/c (No. 14); the cell edges are 5.384, 7.589 and 7.829 Å and the angles 90.00°, 121.89° and 90.00°. The inequivalent atoms are Li at (0.177, 0.130, 0.478), Li at (0.271, 0.729, 0.939), Li at (0.298, 0.044, 0.200), H at (0.500, 0.000, 0.500) and Au at (0.239, 0.072, 0.830).

# 8
Density functional theory data (PBE) for a geometry-optimized Li3HAu structure.

The value obtained for the excess energy over the best structure of this formula in the dataset is 160.3 meV per atom.

The structure belongs to space group P6_3/mmc (No. 194); the cell edges are 3.5012, 3.5012 and 14.2270 Å and the angles 90.00°, 90.00° and 120.00°. The inequivalent atoms are Li at (0.0000, 0.0000, 0.2500), Li at (0.3333, 0.6667, 0.1097), H at (0.3333, 0.6667, 0.2500) and Au at (0.0000, 0.0000, 0.0000).

# 9
Density functional theory data (PBE) for a geometry-optimized Li3HAu structure.

The value obtained for the excess energy over the best structure of this formula in the dataset is 13.6 meV per atom.

The structure belongs to space group P2_1/m (No. 11); the cell edges are 3.859, 4.147 and 8.000 Å and the angles 90.00°, 90.05° and 90.00°. The inequivalent atoms are Li at (0.001, 0.250, 0.126), Li at (0.001, 0.750, 0.373), Li at (0.499, 0.750, 0.652), H at (0.002, 0.250, 0.386) and Au at (0.499, 0.750, 0.126).

# 10
Density functional theory data (PBE) for a geometry-optimized Li3HAu structure.

The value obtained for the excess energy over the best structure of this formula in the dataset is 95.1 meV per atom.

The structure belongs to space group C2/m (No. 12); the cell edges are 15.152, 2.723 and 7.161 Å and the angles 90.00°, 91.10° and 90.00°. The inequivalent atoms are Li at (0.038, 0.000, 0.201), Li at (0.137, 0.000, 0.513), Li at (0.204, 0.500, 0.170), H at (0.108, 0.500, 0.338) and Au at (0.130, 0.000, 0.876).

# 11
Density functional theory data (PBE) for a geometry-optimized Li5H12Au3 structure.

As for the electronic total energy: -2.878 eV per atom.

The structure belongs to space group Ia-3d (No. 230); the cell edges are 11.849, 11.849 and 11.849 Å and the angles 90.00°, 90.00° and 90.00°. The inequivalent atoms are Li at (0.000, 0.000, 0.000), Li at (0.000, 0.250, 0.375), H at (0.011, 0.042, 0.169) and Au at (0.000, 0.250, 0.125).

# 12
Density functional theory data (PBE) for a geometry-optimized Li3HAu structure.

The value obtained for the excess energy over the best structure of this formula in the dataset is 547.4 meV per atom.

The structure belongs to space group I-4m2 (No. 119); the cell edges are 4.688, 4.688 and 18.402 Å and the angles 90.00°, 90.00° and 90.00°. The inequivalent atoms are Li at (0.000, 0.000, 0.188), Li at (0.000, 0.239, 0.622), H at (0.000, 0.500, 0.147), Au at (0.000, 0.000, 0.500) and Au at (0.000, 0.500, 0.750).